Compound: MgOsN2
Source: Alexandria
Functional: PBE
Structure: relaxed

a = 5.4752 Å, b = 5.5147 Å, c = 6.6961 Å
α = 90.00°, β = 90.00°, γ = 90.00°
Closest atoms and distances in Å follow each position.
Fractional positions:
N1 0.1147 0.3822 0.6176  2 Os 1.94-1.99, 2 Mg 2.08-2.11
N2 0.9536 0.8642 0.8988  2 Os 1.91-2.02, 1 Mg 2.08
N3 0.3853 0.8822 0.1176  2 Os 1.94-1.99, 2 Mg 2.08-2.11
N4 0.8853 0.8822 0.3824  2 Os 1.94-1.99, 2 Mg 2.08-2.11
N5 0.0464 0.3642 0.1012  2 Os 1.91-2.02, 1 Mg 2.08
N6 0.4536 0.8642 0.6012  2 Os 1.91-2.02, 1 Mg 2.08
N7 0.6147 0.3822 0.8824  2 Os 1.94-1.99, 2 Mg 2.08-2.11
N8 0.5464 0.3642 0.3988  2 Os 1.91-2.02, 1 Mg 2.08
Os1 0.9458 0.5242 0.8434  4 N 1.91-2.02
Os2 0.4458 0.5242 0.6566  4 N 1.91-2.02
Os3 0.0542 0.0242 0.1566  4 N 1.91-2.02
Os4 0.5542 0.0242 0.3434  4 N 1.91-2.02
Mg1 0.9010 0.4993 0.3790  4 N 2.08-2.16
Mg2 0.5990 0.9993 0.8790  4 N 2.08-2.16
Mg3 0.4010 0.4993 0.1210  4 N 2.08-2.16
Mg4 0.0990 0.9993 0.6210  4 N 2.08-2.16

Output
* Fermi-level density of states: 3.92 states/eV per cell
* formation energy without anion corrections: 0.0185 eV per atom

---

Compound: EuHo3Ru
Source: Alexandria
Functional: PBE
Structure: relaxed

a = 5.4261 Å, b = 5.4261 Å, c = 5.4261 Å
α = 90.00°, β = 90.00°, γ = 90.00°
Closest atoms and distances in Å follow each position.
Fractional positions:
Eu1 0.5000 0.5000 0.5000  12 Ho 3.84
Ho1 0.0000 0.0000 0.5000  2 Ru 2.71
Ho2 0.5000 0.0000 0.0000  2 Ru 2.71
Ho3 0.0000 0.5000 0.0000  2 Ru 2.71
Ru1 0.0000 0.0000 0.0000  6 Ho 2.71

Output
* Fermi-level density of states: 3.78 states/eV per cell
* raw total energy: -34.09 eV per cell

---

Compound: Nb4FeC2S4
Source: Alexandria
Functional: PBE
Structure: relaxed

a = 3.3166 Å, b = 5.7553 Å, c = 8.7819 Å
α = 78.16°, β = 90.00°, γ = 90.00°
Closest atoms and distances in Å follow each position.
Fractional positions:
Nb1 0.5000 0.6284 0.6348  3 C 2.22-2.25
Nb2 0.0000 0.8796 0.3656  3 C 2.23-2.26
Nb3 0.5000 0.3716 0.3652  3 C 2.22-2.25
Nb4 0.0000 0.1204 0.6344  3 C 2.23-2.26
S1 0.5000 0.2313 0.8334  2 Fe 2.42, 3 Nb 2.57-2.58
S2 0.0000 0.7277 0.8307  1 Fe 2.37, 3 Nb 2.54-2.55
S3 0.0000 0.2723 0.1693  1 Fe 2.37, 3 Nb 2.54-2.55
S4 0.5000 0.7687 0.1666  2 Fe 2.42, 3 Nb 2.57-2.58
C1 0.5000 0.0000 0.5000  6 Nb 2.22-2.23
C2 0.0000 0.5000 0.5000  6 Nb 2.25-2.26
Fe1 0.0000 0.0000 0.0000  6 S 2.37-2.42

Output
* Fermi-level density of states: 4.72 states/eV per cell
* formation energy without anion corrections: -0.7740 eV per atom

---

Compound: Cs2GePbBr6
Source: Alexandria
Functional: PBE
Structure: relaxed

a = 5.8363 Å, b = 5.8363 Å, c = 11.5736 Å
α = 90.00°, β = 90.00°, γ = 90.00°
Closest atoms and distances in Å follow each position.
Fractional positions:
Br1 0.5000 0.0000 0.0000  2 Pb 2.92
Br2 0.0000 0.5000 0.0000  2 Pb 2.92
Br3 0.5000 0.0000 0.5000  2 Ge 2.92
Br4 0.5000 0.5000 0.7379  1 Ge 2.75, 1 Pb 3.03
Br5 0.5000 0.5000 0.2621  1 Ge 2.75, 1 Pb 3.03
Br6 0.0000 0.5000 0.5000  2 Ge 2.92
Cs1 0.0000 0.0000 0.2632  12 Br 4.00-4.22
Cs2 0.0000 0.0000 0.7368  12 Br 4.00-4.22
Ge1 0.5000 0.5000 0.5000  6 Br 2.75-2.92
Pb1 0.5000 0.5000 0.0000  6 Br 2.92-3.03

Output
* formation energy without anion corrections: -1.1811 eV per atom
* energy above the most stable polymorph in this dataset: 13 meV/atom